No. 1
# TaBi

A relaxed TaBi crystal (PBE, Alexandria via LeMat-Bulk).

Unit cell a=10.9588 b=10.9588 c=3.0493 alpha=90.00 beta=90.00 gamma=120.00
Fractional positions:
1 Ta 0.1682 0.5413 0.7500
2 Bi 0.7266 0.6789 0.2500
3 Ta 0.6269 0.1682 0.2500
4 Ta 0.4587 0.6269 0.7500
5 Bi 0.9522 0.2734 0.2500
6 Ta 0.8318 0.4587 0.2500
7 Ta 0.5413 0.3731 0.2500
8 Ta 0.3731 0.8318 0.7500
9 Bi 0.3211 0.0478 0.2500
10 Bi 0.2734 0.3211 0.7500
11 Bi 0.6789 0.9522 0.7500
12 Bi 0.0478 0.7266 0.7500

Summary:
E_form, meV per atom: 525
DOS(E_F), states/eV/atom: 0.778



No. 2
# Rb2SnAuF6

A relaxed Rb2SnAuF6 crystal (PBE, Alexandria via LeMat-Bulk).

Unit cell a=6.6606 b=6.6606 c=6.6967 alpha=60.18 beta=60.18 gamma=90.00
Fractional positions:
1 F 0.7162 0.7162 0.0000
2 F 0.2838 0.2838 0.0000
3 F 0.2838 0.7162 0.0000
4 Au 0.0000 0.0000 0.0000
5 F 0.2862 0.2862 0.4276
6 F 0.7162 0.2838 0.0000
7 Rb 0.2500 0.7500 0.5000
8 Sn 0.5000 0.5000 0.0000
9 F 0.7138 0.7138 0.5724
10 Rb 0.7500 0.2500 0.5000

Summary:
DOS(E_F), states/eV/atom: 0.280
Energy relative to the elements, uncorrected, eV/atom: -2.148